Entry 1:
## RbNdHgS3 (GGA-PBE)

Data for crystalline RbNdHgS3 at its relaxed geometry.

Unit cell a=4.2465 b=9.0130 c=10.1126 alpha=106.82 beta=90.00 gamma=90.00
Fractional coordinates of all 12 atoms:
Hg 0.7500 0.9032 0.3848
Hg 0.2500 0.0968 0.6152
S 0.7500 0.4615 0.1457
S 0.2500 0.7819 0.4612
S 0.2500 0.5385 0.8543
S 0.7500 0.2181 0.5388
S 0.2500 0.1142 0.8678
S 0.7500 0.8858 0.1322
Rb 0.2500 0.2090 0.2334
Rb 0.7500 0.7910 0.7666
Nd 0.2500 0.6684 0.1391
Nd 0.7500 0.3316 0.8609

Summary:
- Total energy: -51.5 eV for the cell shown
- Space group: P2_1/m, No. 11
- Formation energy (no corrections): -1.219 eV/atom

Entry 2:
## RbNdHgSe3 (GGA-PBE)

Data for crystalline RbNdHgSe3 at its relaxed geometry.

Unit cell a=4.3846 b=9.2412 c=10.4969 alpha=107.56 beta=90.00 gamma=90.00
Fractional coordinates of all 12 atoms:
Se 0.7500 0.8982 0.1299
Se 0.7500 0.4641 0.1512
Se 0.7500 0.2255 0.5434
Se 0.2500 0.7745 0.4566
Se 0.2500 0.1018 0.8701
Se 0.2500 0.5359 0.8488
Rb 0.7500 0.7805 0.7545
Rb 0.2500 0.2195 0.2455
Nd 0.2500 0.6749 0.1371
Nd 0.7500 0.3251 0.8629
Hg 0.7500 0.9084 0.3837
Hg 0.2500 0.0916 0.6163

Summary:
- Total energy: -47.4 eV for the cell shown
- Space group: P2_1/m, No. 11
- Formation energy (no corrections): -1.197 eV/atom

Entry 3:
## RbNd2HgSe4 (GGA-PBE)

Data for crystalline RbNd2HgSe4 at its relaxed geometry.

Unit cell a=4.4311 b=7.6521 c=15.3387 alpha=90.00 beta=90.00 gamma=106.83
Fractional coordinates of all 16 atoms:
Hg 0.8443 0.6886 0.7500
Hg 0.1557 0.3114 0.2500
Nd 0.6257 0.2514 0.0588
Nd 0.3743 0.7486 0.9412
Nd 0.3743 0.7486 0.5588
Nd 0.6257 0.2514 0.4412
Se 0.7377 0.4754 0.8978
Se 0.0000 0.0000 0.5000
Se 0.2623 0.5246 0.1022
Se 0.2623 0.5246 0.3978
Se 0.4489 0.8978 0.7500
Se 0.0000 0.0000 0.0000
Se 0.7377 0.4754 0.6022
Se 0.5511 0.1022 0.2500
Rb 0.1260 0.2519 0.7500
Rb 0.8740 0.7481 0.2500

Summary:
- Total energy: -70.7 eV for the cell shown
- Space group: Cmcm, No. 63
- Formation energy (no corrections): -1.323 eV/atom

Entry 4:
## Rb2NdHg2Se4 (GGA-PBE)

Data for crystalline Rb2NdHg2Se4 at its relaxed geometry.

Unit cell a=4.3180 b=8.6084 c=8.6853 alpha=112.16 beta=104.39 gamma=90.00
Fractional coordinates of all 9 atoms:
Se 0.4766 0.2228 0.9533
Se 0.1889 0.2248 0.3779
Se 0.5234 0.7772 0.0467
Se 0.8111 0.7752 0.6221
Rb 0.1271 0.5678 0.2541
Rb 0.8729 0.4322 0.7459
Nd 0.0000 0.0000 0.0000
Hg 0.6891 0.0186 0.3782
Hg 0.3109 0.9814 0.6218

Summary:
- Total energy: -30.0 eV for the cell shown
- Space group: C2/m, No. 12
- Formation energy (no corrections): -0.974 eV/atom

Entry 5:
## RbNdHgTe3 (GGA-PBE)

Data for crystalline RbNdHgTe3 at its relaxed geometry.

Unit cell a=4.6243 b=9.7543 c=11.0826 alpha=108.08 beta=90.00 gamma=90.00
Fractional coordinates of all 12 atoms:
Nd 0.2500 0.6792 0.1365
Nd 0.7500 0.3208 0.8635
Te 0.2500 0.7727 0.4546
Te 0.2500 0.0930 0.8741
Te 0.2500 0.5349 0.8414
Te 0.7500 0.2273 0.5454
Te 0.7500 0.4651 0.1586
Te 0.7500 0.9070 0.1259
Hg 0.7500 0.9096 0.3808
Hg 0.2500 0.0904 0.6192
Rb 0.7500 0.7756 0.7437
Rb 0.2500 0.2244 0.2563

Summary:
- Total energy: -42.6 eV for the cell shown
- Space group: P2_1/m, No. 11
- Formation energy (no corrections): -0.970 eV/atom

Entry 6:
## Rb2NdHg2Te4 (GGA-PBE)

Data for crystalline Rb2NdHg2Te4 at its relaxed geometry.

Unit cell a=4.8570 b=8.6748 c=8.9640 alpha=108.81 beta=105.72 gamma=90.00
Fractional coordinates of all 9 atoms:
Rb 0.8673 0.4167 0.7346
Rb 0.1327 0.5833 0.2654
Nd 0.0000 0.0000 0.0000
Te 0.4989 0.7505 0.9978
Te 0.5011 0.2495 0.0022
Te 0.8023 0.8130 0.6047
Te 0.1977 0.1870 0.3953
Hg 0.6681 0.9817 0.3361
Hg 0.3319 0.0183 0.6639

Summary:
- Total energy: -27.1 eV for the cell shown
- Space group: C2/m, No. 12
- Formation energy (no corrections): -0.799 eV/atom

Entry 7:
## NdHg5Rh (GGA-PBE)

Data for crystalline NdHg5Rh at its relaxed geometry.

Unit cell a=4.8163 b=4.8163 c=7.3604 alpha=90.00 beta=90.00 gamma=90.00
Fractional coordinates of all 7 atoms:
Hg 0.0000 0.5000 0.2981
Hg 0.5000 0.5000 0.0000
Hg 0.5000 0.0000 0.2981
Hg 0.0000 0.5000 0.7019
Hg 0.5000 0.0000 0.7019
Nd 0.0000 0.0000 0.0000
Rh 0.0000 0.0000 0.5000

Summary:
- Total energy: -15.1 eV for the cell shown
- Space group: P4/mmm, No. 123
- DFT formation energy: -0.208 eV/atom

Entry 8:
## Nd4HgRh (GGA-PBE)

Data for crystalline Nd4HgRh at its relaxed geometry.

Unit cell a=6.2080 b=8.4034 c=8.3389 alpha=113.65 beta=103.48 gamma=106.03
Fractional coordinates of all 12 atoms:
Nd 0.6466 0.0701 0.3692
Nd 0.3534 0.9299 0.6308
Nd 0.9579 0.7923 0.1410
Nd 0.6832 0.3488 0.1410
Nd 0.2226 0.2991 0.3692
Nd 0.0421 0.2077 0.8590
Nd 0.3168 0.6512 0.8590
Nd 0.7774 0.7009 0.6308
Rh 0.2480 0.9980 0.9960
Rh 0.7520 0.0020 0.0040
Hg 0.3716 0.6216 0.2433
Hg 0.6284 0.3784 0.7567

Summary:
- Total energy: -58.1 eV for the cell shown
- Space group: C2/c, No. 15
- Energy above the lowest structure with this stoichiometry: 79.7 meV/atom
- DFT formation energy: -0.391 eV/atom